(1)
Computed, not measured: crystalline Ce7Si3Ge at its relaxed geometry at the PBE-GGA level of DFT.

Cell: 7.6524 7.6524 7.6524 Å, 136.69 109.23 86.73°
With the nearest neighbours (Å) after each atom.
Positions (direct):
1 Ce 0.0000 0.0000 0.0000  2 Ge 2.82, 2 Si 2.94
2 Ce 0.1061 0.7602 0.3459  1 Ce 2.73, 1 Si 3.00
3 Ce 0.3428 0.5000 0.8428  1 Ce 2.79, 2 Si 2.97, 1 Ge 3.04
4 Ce 0.4143 0.7602 0.6541  1 Ce 2.73, 1 Si 3.00
5 Ce 0.5857 0.2398 0.3459  1 Ce 2.73, 1 Si 3.00
6 Ce 0.6572 0.5000 0.1572  1 Ce 2.79, 2 Si 2.97, 1 Ge 3.04
7 Ce 0.8939 0.2398 0.6541  1 Ce 2.73, 1 Si 3.00
8 Si 0.2639 0.2639 0.0000  9 Ce 2.94-3.14
9 Si 0.5000 0.0000 0.5000  8 Ce 3.00-3.15
10 Si 0.7361 0.7361 0.0000  9 Ce 2.94-3.14
11 Ge 0.0000 0.5000 0.5000  4 Ce 2.82-3.04

Values from the calculation:
The total energy is -67.193 eV for the cell shown. The value obtained for the uncorrected formation energy is -0.43 eV/atom.

---

(2)
Computed, not measured: crystalline Ce2SiGe at its relaxed geometry at the PBE-GGA level of DFT.

Cell: 5.9076 3.9538 8.6089 Å, 90.00 107.44 90.00°
With the nearest neighbours (Å) after each atom.
Positions (direct):
1 Ce 0.2057 0.2500 0.4270  3 Si 3.03-3.25, 4 Ge 3.07-3.22
2 Ce 0.2840 0.7500 0.0677  4 Si 3.03-3.27, 3 Ge 3.07-3.23
3 Ce 0.7160 0.2500 0.9323  4 Si 3.03-3.27, 3 Ge 3.07-3.23
4 Ce 0.7943 0.7500 0.5730  3 Si 3.03-3.25, 4 Ge 3.07-3.22
5 Si 0.1374 0.2500 0.7879  2 Ge 2.58
6 Si 0.8626 0.7500 0.2121  2 Ge 2.58
7 Ge 0.3645 0.7500 0.7122  2 Si 2.58
8 Ge 0.6355 0.2500 0.2878  2 Si 2.58

Values from the calculation:
The total energy is -49.160 eV for the cell shown. The value obtained for the uncorrected formation energy is -0.67 eV/atom.

---

(3)
Computed, not measured: crystalline Ce4Si2Ge5 at its relaxed geometry at the PBE-GGA level of DFT.

Cell: 6.9473 4.3081 8.0461 Å, 90.00 90.56 90.00°
With the nearest neighbours (Å) after each atom.
Positions (direct):
1 Ce 0.2305 0.0000 0.3672  8 Ge 3.04-3.26, 2 Si 3.06
2 Ce 0.2441 0.0000 0.8845  6 Ge 3.07-3.37, 4 Si 3.09-3.17
3 Ce 0.7559 0.0000 0.1155  6 Ge 3.07-3.37, 4 Si 3.09-3.17
4 Ce 0.7695 0.0000 0.6328  8 Ge 3.04-3.26, 2 Si 3.06
5 Si 0.0906 0.5000 0.1241  1 Si 2.35, 2 Ge 2.48-2.50
6 Si 0.9094 0.5000 0.8759  1 Si 2.35, 2 Ge 2.48-2.50
7 Ge 0.1219 0.5000 0.6264  1 Si 2.50, 1 Ge 2.64
8 Ge 0.4455 0.5000 0.1569  1 Si 2.48, 1 Ge 2.64
9 Ge 0.5000 0.5000 0.5000  4 Ge 2.78-2.83, 4 Ce 3.04
10 Ge 0.5545 0.5000 0.8431  1 Si 2.48, 1 Ge 2.64
11 Ge 0.8781 0.5000 0.3736  1 Si 2.50, 1 Ge 2.64

Values from the calculation:
The total energy is -65.168 eV for the cell shown. The value obtained for the uncorrected formation energy is -0.68 eV/atom.

---

(4)
Computed, not measured: crystalline CeSiGe at its relaxed geometry at the PBE-GGA level of DFT.

Cell: 4.0684 4.0684 17.2863 Å, 90.00 90.00 90.00°
With the nearest neighbours (Å) after each atom.
Positions (direct):
1 Ce 0.0000 0.0000 0.1116  1 Ge 2.89, 4 Si 2.94
2 Ce 0.0000 0.0000 0.8884  1 Ge 2.89, 4 Si 2.94
3 Ce 0.5000 0.5000 0.3884  1 Ge 2.89, 4 Si 2.94
4 Ce 0.5000 0.5000 0.6116  1 Ge 2.89, 4 Si 2.94
5 Si 0.0000 0.0000 0.4230  1 Ge 2.49, 1 Si 2.66
6 Si 0.0000 0.0000 0.5770  1 Ge 2.49, 1 Si 2.66
7 Si 0.5000 0.5000 0.0770  1 Ge 2.49, 1 Si 2.66
8 Si 0.5000 0.5000 0.9230  1 Ge 2.49, 1 Si 2.66
9 Ge 0.0000 0.0000 0.2788  1 Si 2.49
10 Ge 0.0000 0.0000 0.7212  1 Si 2.49
11 Ge 0.5000 0.5000 0.2212  1 Si 2.49
12 Ge 0.5000 0.5000 0.7788  1 Si 2.49

Values from the calculation:
The total energy is -65.967 eV for the cell shown. The value obtained for the uncorrected formation energy is -0.17 eV/atom.

---

(5)
Computed, not measured: crystalline Ce8Si2Ge3 at its relaxed geometry at the PBE-GGA level of DFT.

Cell: 8.5273 8.5273 5.0648 Å, 90.05 90.05 71.54°
With the nearest neighbours (Å) after each atom.
Positions (direct):
1 Ce 0.1196 0.6263 0.4998  2 Si 3.02, 3 Ge 3.02-3.09
2 Ce 0.1233 0.1233 0.0002  4 Ge 3.05-3.17, 2 Si 3.11, 2 Ce 3.31-3.41
3 Ce 0.3626 0.3626 0.0003  2 Si 2.95, 2 Ge 2.99
4 Ce 0.3737 0.8804 0.5002  2 Si 3.02, 3 Ge 3.02-3.09
5 Ce 0.6263 0.1196 0.4998  2 Si 3.02, 3 Ge 3.02-3.09
6 Ce 0.6374 0.6374 0.9997  2 Si 2.95, 2 Ge 2.99
7 Ce 0.8767 0.8767 0.9998  4 Ge 3.05-3.17, 2 Si 3.11, 2 Ce 3.31-3.41
8 Ce 0.8804 0.3737 0.5002  2 Si 3.02, 3 Ge 3.02-3.09
9 Si 0.2537 0.2537 0.5003  8 Ce 2.95-3.11
10 Si 0.7463 0.7463 0.4997  8 Ce 2.95-3.11
11 Ge 0.0000 0.0000 0.5000  8 Ce 3.02-3.05
12 Ge 0.2683 0.7317 0.0000  8 Ce 2.99-3.17
13 Ge 0.7317 0.2683 0.0000  8 Ce 2.99-3.17

Values from the calculation:
The total energy is -77.542 eV for the cell shown. The value obtained for the uncorrected formation energy is -0.41 eV/atom.

---

(6)
Computed, not measured: crystalline Ce2SiGe at its relaxed geometry at the PBE-GGA level of DFT.

Cell: 3.9615 5.8768 8.2074 Å, 90.00 90.00 90.00°
With the nearest neighbours (Å) after each atom.
Positions (direct):
1 Ce 0.0000 0.1302 0.0000  4 Si 3.04-3.05, 3 Ge 3.12-3.25
2 Ce 0.0000 0.8698 0.5000  4 Si 3.04-3.05, 3 Ge 3.12-3.25
3 Ce 0.5000 0.3641 0.6370  4 Ge 3.06, 3 Si 3.07-3.27
4 Ce 0.5000 0.6359 0.1370  4 Ge 3.06, 3 Si 3.07-3.27
5 Si 0.5000 0.1179 0.2810  2 Ge 2.58
6 Si 0.5000 0.8821 0.7810  2 Ge 2.58
7 Ge 0.0000 0.3797 0.3536  2 Si 2.58
8 Ge 0.0000 0.6203 0.8536  2 Si 2.58

Values from the calculation:
The total energy is -49.171 eV for the cell shown. The value obtained for the uncorrected formation energy is -0.67 eV/atom.

---

(7)
Computed, not measured: crystalline Ce6Si3Ge at its relaxed geometry at the PBE-GGA level of DFT.

Cell: 5.8208 5.8208 7.7736 Å, 101.01 101.01 70.59°
With the nearest neighbours (Å) after each atom.
Positions (direct):
1 Ce 0.0660 0.6538 0.6571  2 Ce 2.77-2.88, 3 Si 2.82-3.01, 1 Ge 3.02
2 Ce 0.3462 0.9340 0.3429  2 Ce 2.77-2.88, 3 Si 2.82-3.01, 1 Ge 3.02
3 Ce 0.3569 0.3569 0.0952  2 Si 3.00-3.12, 1 Ge 3.30
4 Ce 0.6431 0.6431 0.9048  2 Si 3.00-3.12, 1 Ge 3.30
5 Ce 0.6538 0.0660 0.6571  2 Ce 2.77-2.88, 3 Si 2.82-3.01, 1 Ge 3.02
6 Ce 0.9340 0.3462 0.3429  2 Ce 2.77-2.88, 3 Si 2.82-3.01, 1 Ge 3.02
7 Si 0.1491 0.1491 0.7395  1 Ge 2.73, 5 Ce 2.99-3.01
8 Si 0.5000 0.5000 0.5000  6 Ce 2.82-3.12
9 Si 0.8509 0.8509 0.2605  1 Ge 2.73, 5 Ce 2.99-3.01
10 Ge 0.0000 0.0000 0.0000  2 Si 2.73, 4 Ce 3.02

Values from the calculation:
The total energy is -59.880 eV for the cell shown. The value obtained for the uncorrected formation energy is -0.34 eV/atom.

---

(8)
Computed, not measured: crystalline Ce5SiGe2 at its relaxed geometry at the PBE-GGA level of DFT.

Cell: 5.2143 5.2143 16.7515 Å, 90.00 90.00 116.22°
With the nearest neighbours (Å) after each atom.
Positions (direct):
1 Ce 0.0806 0.9194 0.5804  2 Ce 2.81-3.05, 1 Si 2.87, 4 Ge 3.04-3.09
2 Ce 0.0806 0.9194 0.9196  2 Ce 2.81-3.05, 1 Si 2.87, 4 Ge 3.04-3.09
3 Ce 0.2314 0.7686 0.2500  2 Ge 3.01, 3 Si 3.02-3.19
4 Ce 0.3939 0.6061 0.6059  1 Ce 2.81, 1 Ge 3.05
5 Ce 0.3939 0.6061 0.8941  1 Ce 2.81, 1 Ge 3.05
6 Ce 0.6061 0.3939 0.1059  1 Ce 2.81, 1 Ge 3.05
7 Ce 0.6061 0.3939 0.3941  1 Ce 2.81, 1 Ge 3.05
8 Ce 0.7686 0.2314 0.7500  2 Ge 3.01, 3 Si 3.02-3.19
9 Ce 0.9194 0.0806 0.0804  2 Ce 2.81-3.05, 1 Si 2.87, 4 Ge 3.04-3.09
10 Ce 0.9194 0.0806 0.4196  2 Ce 2.81-3.05, 1 Si 2.87, 4 Ge 3.04-3.09
11 Si 0.1284 0.8716 0.7500  5 Ce 2.87-3.19
12 Si 0.8716 0.1284 0.2500  5 Ce 2.87-3.19
13 Ge 0.2678 0.7322 0.0714  9 Ce 3.01-3.17
14 Ge 0.2678 0.7322 0.4286  9 Ce 3.01-3.17
15 Ge 0.7322 0.2678 0.5714  9 Ce 3.01-3.17
16 Ge 0.7322 0.2678 0.9286  9 Ce 3.01-3.17

Values from the calculation:
The total energy is -95.810 eV for the cell shown. The value obtained for the uncorrected formation energy is -0.45 eV/atom.

---

(9)
Computed, not measured: crystalline CeSiTcGe at its relaxed geometry at the PBE-GGA level of DFT.

Cell: 4.2123 4.2123 8.9396 Å, 90.00 90.00 90.00°
With the nearest neighbours (Å) after each atom.
Positions (direct):
1 Ce 0.2500 0.2500 0.2300  1 Ge 2.88, 4 Tc 3.20, 4 Si 3.21
2 Ce 0.7500 0.7500 0.7700  1 Ge 2.88, 4 Tc 3.20, 4 Si 3.21
3 Si 0.2500 0.2500 0.6358  4 Tc 2.43, 1 Ge 2.43
4 Si 0.7500 0.7500 0.3642  4 Tc 2.43, 1 Ge 2.43
5 Tc 0.2500 0.7500 0.5000  4 Si 2.43
6 Tc 0.7500 0.2500 0.5000  4 Si 2.43
7 Ge 0.2500 0.2500 0.9082  1 Si 2.43
8 Ge 0.7500 0.7500 0.0918  1 Si 2.43

Values from the calculation:
The total energy is -56.744 eV for the cell shown. The value obtained for the uncorrected formation energy is -0.51 eV/atom.

---

(10)
Computed, not measured: crystalline CeSi2Tc2Ge at its relaxed geometry at the PBE-GGA level of DFT.

Cell: 4.5454 4.5454 5.4937 Å, 90.00 90.00 90.00°
With the nearest neighbours (Å) after each atom.
Positions (direct):
1 Ce 0.0000 0.0000 0.0000  2 Ge 2.75
2 Si 0.5000 0.5000 0.2339  1 Si 2.57, 4 Tc 2.70
3 Si 0.5000 0.5000 0.7661  1 Si 2.57, 4 Tc 2.70
4 Tc 0.0000 0.5000 0.5000  2 Ge 2.27
5 Tc 0.5000 0.0000 0.5000  2 Ge 2.27
6 Ge 0.0000 0.0000 0.5000  4 Tc 2.27

Values from the calculation:
The total energy is -42.555 eV for the cell shown. The value obtained for the uncorrected formation energy is -0.07 eV/atom.

---

(11)
Computed, not measured: crystalline CeThSiGe at its relaxed geometry at the PBE-GGA level of DFT.

Cell: 4.1012 4.3686 10.9473 Å, 90.00 90.00 90.00°
With the nearest neighbours (Å) after each atom.
Positions (direct):
1 Ce 0.0000 0.0000 0.0000  3 Si 3.06-3.26, 4 Ge 3.06
2 Ce 0.0000 0.5000 0.5000  3 Si 3.06-3.26, 4 Ge 3.06
3 Th 0.5000 0.0000 0.2763  4 Si 3.06, 3 Ge 3.09-3.23
4 Th 0.5000 0.5000 0.7763  4 Si 3.06, 3 Ge 3.09-3.23
5 Si 0.0000 0.0000 0.7207  2 Ge 2.71
6 Si 0.0000 0.5000 0.2207  2 Ge 2.71
7 Ge 0.5000 0.0000 0.5584  2 Si 2.71
8 Ge 0.5000 0.5000 0.0584  2 Si 2.71

Values from the calculation:
The total energy is -52.215 eV for the cell shown. The value obtained for the uncorrected formation energy is -0.68 eV/atom.

---

(12)
Computed, not measured: crystalline Ce2SmGe6 at its relaxed geometry at the PBE-GGA level of DFT.

Cell: 7.5870 7.5870 4.0474 Å, 90.00 90.00 120.00°
With the nearest neighbours (Å) after each atom.
Positions (direct):
1 Ce 0.3333 0.6667 0.0000  12 Ge 3.24
2 Ce 0.6667 0.3333 0.0000  12 Ge 3.24
3 Sm 0.0000 0.0000 0.0000  12 Ge 3.24
4 Ge 0.0000 0.3330 0.5000  3 Ge 2.53
5 Ge 0.0000 0.6670 0.5000  3 Ge 2.53
6 Ge 0.3330 0.0000 0.5000  3 Ge 2.53
7 Ge 0.3330 0.3330 0.5000  3 Ge 2.53
8 Ge 0.6670 0.0000 0.5000  3 Ge 2.53
9 Ge 0.6670 0.6670 0.5000  3 Ge 2.53

Values from the calculation:
The total energy is -49.347 eV for the cell shown. As for the formation energy: -561.8 meV/atom.

---

> What is the total energy in the second record?

-49.160 eV for the cell shown

---

> What is the total energy in the second record?

-49.160 eV for the cell shown